Here is an optimized crystal structure of CaAc2TbSe4 from Alexandria via LeMat-Bulk. Energies are from PBE.

Cell and atoms, written as POSCAR:
```
CaAc2TbSe4
1.0
4.254 0.000 0.000
0.000 7.394 0.139
0.000 -2.574 7.139
Ca Ac Tb Se
1 2 1 4
direct
0.000 0.000 0.000 Ca
0.500 0.000 0.500 Ac
0.000 0.500 0.500 Ac
0.500 0.500 0.000 Tb
0.500 0.244 0.225 Se
0.500 0.756 0.775 Se
0.000 0.260 0.777 Se
0.000 0.740 0.223 Se
```

## Properties
Space group ... P2/m (10)
Size of the total moment ... 0.00 μB per formula unit
Total energy ... -5.45 eV per atom
DOS at the Fermi energy ... 3.847 states/eV per cell
E_form (uncorrected) ... -1.86 eV/atom



Here is an optimized crystal structure of Ca2AcTbSe4 from Alexandria via LeMat-Bulk. Energies are from PBE.

Cell and atoms, written as POSCAR:
```
Ca2AcTbSe4
1.0
-1.139 -1.504 3.781
-3.938 -5.252 -3.275
6.911 -2.472 1.099
Ca Ac Tb Se
2 1 1 4
direct
0.500 0.000 0.500 Ca
0.000 0.500 0.500 Ca
0.500 0.500 0.000 Ac
0.000 0.000 0.000 Tb
0.500 0.239 0.253 Se
0.500 0.761 0.747 Se
0.000 0.233 0.737 Se
0.000 0.767 0.263 Se
```

## Properties
Space group ... P2/m (10)
Size of the total moment ... 0.00 μB per formula unit
Total energy ... -5.21 eV per atom
DOS at the Fermi energy ... 3.698 states/eV per cell
E_form (uncorrected) ... -1.87 eV/atom



Here is an optimized crystal structure of CaAcTb2Se4 from Alexandria via LeMat-Bulk. Energies are from PBE.

Cell and atoms, written as POSCAR:
```
CaAcTb2Se4
1.0
-2.409 -1.484 -3.087
2.356 -6.799 1.429
-4.446 -3.073 4.946
Ca Ac Tb Se
1 1 2 4
direct
0.000 0.500 0.500 Ca
0.500 0.500 0.000 Ac
0.000 0.000 0.000 Tb
0.500 0.000 0.500 Tb
0.000 0.768 0.733 Se
0.000 0.232 0.267 Se
0.500 0.761 0.256 Se
0.500 0.239 0.744 Se
```

## Properties
Space group ... P2/m (10)
Size of the total moment ... 0.00 μB per formula unit
Total energy ... -5.49 eV per atom
DOS at the Fermi energy ... 3.200 states/eV per cell
E_form (uncorrected) ... -1.83 eV/atom



Here is an optimized crystal structure of CaAc4Tb3Se8 from Alexandria via LeMat-Bulk. Energies are from PBE.

Cell and atoms, written as POSCAR:
```
CaAc4Tb3Se8
1.0
8.440 0.000 0.000
0.000 8.742 0.207
-4.220 -4.216 5.971
Ca Ac Tb Se
1 4 3 8
direct
0.000 0.500 0.000 Ca
0.500 0.000 0.000 Ac
0.500 0.000 0.500 Ac
0.000 0.000 0.000 Ac
0.000 0.000 0.500 Ac
0.500 0.500 0.000 Tb
0.500 0.500 0.500 Tb
0.000 0.500 0.500 Tb
0.241 0.722 0.981 Se
0.241 0.722 0.482 Se
0.259 0.278 0.519 Se
0.739 0.722 0.981 Se
0.261 0.278 0.019 Se
0.741 0.722 0.481 Se
0.759 0.278 0.518 Se
0.759 0.278 0.019 Se
```

## Properties
Space group ... R-3m (166)
Size of the total moment ... 0.00 μB per formula unit
Total energy ... -5.59 eV per atom
DOS at the Fermi energy ... 9.119 states/eV per cell
E_form (uncorrected) ... -1.83 eV/atom



Here is an optimized crystal structure of CaAc3Tb3Se8 from Alexandria via LeMat-Bulk. Energies are from PBE.

Cell and atoms, written as POSCAR:
```
CaAc3Tb3Se8
1.0
8.422 0.000 0.000
-4.211 7.294 -0.026
0.000 -4.837 7.159
Ca Ac Tb Se
1 3 3 8
direct
0.000 0.000 0.500 Ca
0.000 0.000 0.000 Ac
0.000 0.500 0.000 Ac
0.500 0.500 0.000 Ac
0.500 0.000 0.500 Tb
0.500 0.500 0.500 Tb
0.000 0.500 0.500 Tb
0.259 0.517 0.276 Se
0.741 0.483 0.724 Se
0.753 0.506 0.270 Se
0.247 0.494 0.730 Se
0.753 0.017 0.270 Se
0.247 0.983 0.730 Se
0.264 0.017 0.270 Se
0.736 0.983 0.730 Se
```

## Properties
Space group ... R-3m (166)
Size of the total moment ... 0.00 μB per formula unit
Total energy ... -5.63 eV per atom
DOS at the Fermi energy ... 3.331 states/eV per cell
E_form (uncorrected) ... -1.89 eV/atom



Here is an optimized crystal structure of CaAcTeSe from Alexandria via LeMat-Bulk. Energies are from PBE.

Cell and atoms, written as POSCAR:
```
CaAcTeSe
1.0
-1.799 -0.816 4.736
2.783 -4.300 0.317
8.068 5.518 4.015
Ca Ac Te Se
2 2 2 2
direct
0.000 0.000 0.500 Ca
0.500 0.500 0.500 Ca
0.000 0.500 0.848 Ac
0.500 0.000 0.152 Ac
0.500 0.000 0.679 Te
0.000 0.500 0.321 Te
0.500 0.500 0.000 Se
0.000 0.000 0.000 Se
```

## Properties
Space group ... P4/nmm (129)
Size of the total moment ... 0.00 μB per formula unit
Total energy ... -4.60 eV per atom
DOS at the Fermi energy ... 3.936 states/eV per cell
E_form (uncorrected) ... -1.41 eV/atom